DFT (GGA-PBE) results for TmHfOsAu after structural relaxation.

Summary:
DOS at the Fermi energy in states/eV/cell: 3.0
E_form in meV/atom: -480.8
E_tot in eV per atom: -7.71
Total moment in μB/f.u.: 0.00

Structure (CIF):
```
data_TmHfOsAu
_cell_length_a 4.790
_cell_length_b 4.790
_cell_length_c 4.790
_cell_angle_alpha 60.00
_cell_angle_beta 60.00
_cell_angle_gamma 60.00
_symmetry_space_group_name_H-M 'P 1'
_symmetry_Int_Tables_number 1
_symmetry_space_group_name_Hall 'P 1'
loop_
_atom_site_label
_atom_site_fract_x
_atom_site_fract_y
_atom_site_fract_z
_atom_site_occupancy
Tm1 0.000 0.000 0.000 1
Hf1 0.500 0.500 0.500 1
Os1 0.750 0.750 0.750 1
Au1 0.250 0.250 0.250 1
```

=====

DFT (GGA-PBE) results for Li2FeGeS4 after structural relaxation.

Summary:
DOS at the Fermi energy in states/eV/cell: 3.9
E_tot in eV per atom: -4.92
Total moment in μB/f.u.: 4.00
E_form (uncorrected) in eV/atom: -0.7462

Structure (CIF):
```
data_Li2FeGeS4
_cell_length_a 6.288
_cell_length_b 6.626
_cell_length_c 10.071
_cell_angle_alpha 90.00
_cell_angle_beta 128.57
_cell_angle_gamma 90.00
_symmetry_space_group_name_H-M 'P 1'
_symmetry_Int_Tables_number 1
_symmetry_space_group_name_Hall 'P 1'
loop_
_atom_site_label
_atom_site_fract_x
_atom_site_fract_y
_atom_site_fract_z
_atom_site_occupancy
Li1 0.000 0.156 0.000 1
Li2 0.000 0.844 0.500 1
Li3 0.748 0.333 0.246 1
Li4 0.748 0.667 0.746 1
Fe1 0.255 0.324 0.753 1
Fe2 0.255 0.676 0.253 1
Ge1 0.503 0.177 0.499 1
Ge2 0.503 0.823 0.999 1
S1 0.157 0.342 0.262 1
S2 0.157 0.658 0.762 1
S3 0.382 0.149 0.989 1
S4 0.382 0.851 0.489 1
S5 0.605 0.320 0.736 1
S6 0.605 0.680 0.236 1
S7 0.876 0.191 0.510 1
S8 0.876 0.809 0.010 1
```